# FeCuHgPb2 PBE relaxed
data_FeCuHgPb2
_chemical_formula_sum 'Fe1 Cu1 Hg1 Pb2'
_cell_length_a 5.2178
_cell_length_b 4.9559
_cell_length_c 5.2178
_cell_angle_alpha 90.00
_cell_angle_beta 90.00
_cell_angle_gamma 90.00
_symmetry_space_group_name_H-M 'P 1'
_symmetry_Int_Tables_number 1
loop_
_symmetry_equiv_pos_as_xyz
'x,y,z'
loop_
_atom_site_label
_atom_site_type_symbol
_atom_site_fract_x
_atom_site_fract_y
_atom_site_fract_z
Pb1 Pb 0.0000 0.0000 0.5000
Cu1 Cu 0.0000 0.0000 0.0000
Fe1 Fe 0.5000 0.5000 0.5000
Pb2 Pb 0.5000 0.0000 0.0000
Hg1 Hg 0.0000 0.5000 0.0000
# **Formation energy**: 0.791 eV/atom
# **Space-group type**: P4/mmm


# Nd2Be6Pd9 PBE relaxed
data_Nd2Be6Pd9
_chemical_formula_sum 'Nd2 Be6 Pd9'
_cell_length_a 5.6337
_cell_length_b 5.6337
_cell_length_c 9.8547
_cell_angle_alpha 90.00
_cell_angle_beta 90.00
_cell_angle_gamma 120.00
_symmetry_space_group_name_H-M 'P 1'
_symmetry_Int_Tables_number 1
loop_
_symmetry_equiv_pos_as_xyz
'x,y,z'
loop_
_atom_site_label
_atom_site_type_symbol
_atom_site_fract_x
_atom_site_fract_y
_atom_site_fract_z
Pd1 Pd 0.5000 0.5000 0.5000
Be1 Be 0.6667 0.3333 0.6670
Pd2 Pd 0.5000 0.5000 0.8377
Pd3 Pd 0.0000 0.5000 0.1623
Be2 Be 0.6667 0.3333 0.0000
Pd4 Pd 0.0000 0.5000 0.5000
Pd5 Pd 0.5000 0.5000 0.1623
Nd1 Nd 0.0000 0.0000 0.6987
Be3 Be 0.3333 0.6667 0.0000
Nd2 Nd 0.0000 0.0000 0.3013
Be4 Be 0.3333 0.6667 0.3330
Pd6 Pd 0.5000 0.0000 0.8377
Pd7 Pd 0.5000 0.0000 0.5000
Be5 Be 0.6667 0.3333 0.3330
Pd8 Pd 0.5000 0.0000 0.1623
Be6 Be 0.3333 0.6667 0.6670
Pd9 Pd 0.0000 0.5000 0.8377
# **Formation energy**: -0.570 eV/atom
# **Space-group type**: P6/mmm


# AlWAu3 PBE relaxed
data_AlWAu3
_chemical_formula_sum 'Al1 W1 Au3'
_cell_length_a 4.6367
_cell_length_b 4.6367
_cell_length_c 4.6367
_cell_angle_alpha 90.00
_cell_angle_beta 90.00
_cell_angle_gamma 90.00
_symmetry_space_group_name_H-M 'P 1'
_symmetry_Int_Tables_number 1
loop_
_symmetry_equiv_pos_as_xyz
'x,y,z'
loop_
_atom_site_label
_atom_site_type_symbol
_atom_site_fract_x
_atom_site_fract_y
_atom_site_fract_z
Au1 Au 0.0000 0.5000 0.0000
Al1 Al 0.0000 0.0000 0.0000
W1 W 0.5000 0.5000 0.5000
Au2 Au 0.5000 0.0000 0.0000
Au3 Au 0.0000 0.0000 0.5000
# **Energy relative to the lowest polymorph listed for this composition**: 0 meV/atom
# **Formation energy**: 1.176 eV/atom
# **Space-group type**: Pm-3m


# UTl2Pb2S6 PBE relaxed
data_UTl2Pb2S6
_chemical_formula_sum 'U1 Tl2 Pb2 S6'
_cell_length_a 7.1733
_cell_length_b 7.1733
_cell_length_c 7.7438
_cell_angle_alpha 99.24
_cell_angle_beta 99.24
_cell_angle_gamma 118.41
_symmetry_space_group_name_H-M 'P 1'
_symmetry_Int_Tables_number 1
loop_
_symmetry_equiv_pos_as_xyz
'x,y,z'
loop_
_atom_site_label
_atom_site_type_symbol
_atom_site_fract_x
_atom_site_fract_y
_atom_site_fract_z
U1 U 0.0000 0.0000 0.5000
Pb1 Pb 0.6690 0.3310 0.5000
S1 S 0.9357 0.6383 0.3017
S2 S 0.3617 0.0643 0.6983
Tl1 Tl 0.1712 0.8288 0.0000
S3 S 0.0643 0.3617 0.6983
S4 S 0.2124 0.2124 0.2923
S5 S 0.6383 0.9357 0.3017
Tl2 Tl 0.8288 0.1712 0.0000
S6 S 0.7876 0.7876 0.7077
Pb2 Pb 0.3310 0.6690 0.5000
# **Formation energy without anion corrections**: -0.769 eV/atom
# **Space-group type**: C2/m


Copy entry 3 word for word.
# AlWAu3 PBE relaxed
data_AlWAu3
_chemical_formula_sum 'Al1 W1 Au3'
_cell_length_a 4.6367
_cell_length_b 4.6367
_cell_length_c 4.6367
_cell_angle_alpha 90.00
_cell_angle_beta 90.00
_cell_angle_gamma 90.00
_symmetry_space_group_name_H-M 'P 1'
_symmetry_Int_Tables_number 1
loop_
_symmetry_equiv_pos_as_xyz
'x,y,z'
loop_
_atom_site_label
_atom_site_type_symbol
_atom_site_fract_x
_atom_site_fract_y
_atom_site_fract_z
Au1 Au 0.0000 0.5000 0.0000
Al1 Al 0.0000 0.0000 0.0000
W1 W 0.5000 0.5000 0.5000
Au2 Au 0.5000 0.0000 0.0000
Au3 Au 0.0000 0.0000 0.5000
# **Energy relative to the lowest polymorph listed for this composition**: 0 meV/atom
# **Formation energy**: 1.176 eV/atom
# **Space-group type**: Pm-3m


Q: What is the formula in the third record?
A: AlWAu3


Q: Which formula does entry 4 have?
A: UTl2Pb2S6